# K2SrPt

A geometry-optimized K2SrPt structure (GGA-PBE, the Alexandria database).

Unit cell a=10.157 b=10.157 c=10.157 alpha=157.70 beta=153.45 gamma=34.94
Fractional coordinates of all 4 atoms:
K 0.157 0.157 0.000
K 0.843 0.843 0.000
Sr 0.500 0.000 0.500
Pt 0.000 0.500 0.500

Values from the calculation:
Raw total energy ... -10.766 eV for the cell shown
Formation enthalpy at 0 K ... -0.212 eV/atom
Total moment ... 0.0000 μB per atom
V ... 44.39 A^3/atom



# KSr2Pt

A geometry-optimized KSr2Pt structure (GGA-PBE, the Alexandria database).

Unit cell a=4.468 b=4.468 c=11.096 alpha=100.60 beta=100.60 gamma=59.79
Fractional coordinates of all 4 atoms:
K 0.000 0.000 0.000
Sr 0.211 0.211 0.645
Sr 0.789 0.789 0.355
Pt 0.500 0.500 0.500

Values from the calculation:
Raw total energy ... -12.340 eV for the cell shown
Formation enthalpy at 0 K ... -0.460 eV/atom
Total moment ... 0.0000 μB per atom
V ... 46.75 A^3/atom



# KSrPt2

A geometry-optimized KSrPt2 structure (GGA-PBE, the Alexandria database).

Unit cell a=3.361 b=3.361 c=8.741 alpha=90.00 beta=90.00 gamma=90.00
Fractional coordinates of all 4 atoms:
K 0.000 0.000 0.000
Sr 0.000 0.000 0.500
Pt 0.500 0.500 0.271
Pt 0.500 0.500 0.729

Values from the calculation:
Raw total energy ... -15.598 eV for the cell shown
Formation enthalpy at 0 K ... -0.184 eV/atom
Total moment ... 0.0000 μB per atom
V ... 24.68 A^3/atom



# K2SrPt

A geometry-optimized K2SrPt structure (GGA-PBE, the Alexandria database).

Unit cell a=4.434 b=4.113 c=10.128 alpha=90.00 beta=102.58 gamma=90.00
Fractional coordinates of all 4 atoms:
K 0.000 0.000 0.000
K 0.311 0.500 0.630
Sr 0.648 0.500 0.303
Pt 0.171 0.000 0.349

Values from the calculation:
Raw total energy ... -10.887 eV for the cell shown
Formation enthalpy at 0 K ... -0.242 eV/atom
Total moment ... 0.0000 μB per atom
V ... 45.07 A^3/atom



# KSrPt2

A geometry-optimized KSrPt2 structure (GGA-PBE, the Alexandria database).

Unit cell a=3.038 b=5.661 c=5.660 alpha=90.00 beta=90.00 gamma=90.00
Fractional coordinates of all 4 atoms:
K 0.000 0.000 0.000
Sr 0.000 0.500 0.497
Pt 0.500 0.000 0.500
Pt 0.500 0.500 0.997

Values from the calculation:
Raw total energy ... -15.457 eV for the cell shown
Formation enthalpy at 0 K ... -0.149 eV/atom
Total moment ... 0.0000 μB per atom
V ... 24.34 A^3/atom



# KSrPt2

A geometry-optimized KSrPt2 structure (GGA-PBE, the Alexandria database).

Unit cell a=6.083 b=6.083 c=5.521 alpha=104.53 beta=104.53 gamma=29.58
Fractional coordinates of all 4 atoms:
K 0.000 0.000 0.000
Sr 0.806 0.806 0.383
Pt 0.235 0.235 0.834
Pt 0.559 0.559 0.535

Values from the calculation:
Raw total energy ... -15.661 eV for the cell shown
Formation enthalpy at 0 K ... -0.200 eV/atom
Total moment ... 0.0000 μB per atom
V ... 24.35 A^3/atom



# KSrPt2

A geometry-optimized KSrPt2 structure (GGA-PBE, the Alexandria database).

Unit cell a=6.569 b=6.569 c=6.569 alpha=101.22 beta=101.22 gamma=127.66
Fractional coordinates of all 8 atoms:
K 0.000 0.000 0.000
K 0.750 0.250 0.500
Sr 0.250 0.750 0.500
Sr 0.500 0.500 0.000
Pt 0.133 0.625 0.008
Pt 0.375 0.383 0.508
Pt 0.617 0.125 0.992
Pt 0.875 0.867 0.492

Values from the calculation:
Raw total energy ... -30.475 eV for the cell shown
Formation enthalpy at 0 K ... -0.094 eV/atom
Total moment ... 0.0000 μB per atom
V ... 25.18 A^3/atom



# KSrPt2

A geometry-optimized KSrPt2 structure (GGA-PBE, the Alexandria database).

Unit cell a=4.998 b=4.998 c=4.050 alpha=90.00 beta=90.00 gamma=107.31
Fractional coordinates of all 4 atoms:
K 0.000 0.000 0.000
Sr 0.500 0.500 0.000
Pt 0.000 0.500 0.500
Pt 0.500 0.000 0.500

Values from the calculation:
Raw total energy ... -15.699 eV for the cell shown
Formation enthalpy at 0 K ... -0.210 eV/atom
Total moment ... 0.0000 μB per atom
V ... 24.15 A^3/atom



# KSrTa2Pt

A geometry-optimized KSrTa2Pt structure (GGA-PBE, the Alexandria database).

Unit cell a=5.025 b=5.025 c=5.195 alpha=90.00 beta=90.00 gamma=90.00
Fractional coordinates of all 5 atoms:
K 0.000 0.000 0.000
Sr 0.000 0.000 0.500
Ta 0.000 0.500 0.500
Ta 0.500 0.000 0.500
Pt 0.500 0.500 0.000

Values from the calculation:
Raw total energy ... -19.395 eV for the cell shown
Formation enthalpy at 0 K ... 2.626 eV/atom
Total moment ... 0.1678 μB per atom
V ... 26.23 A^3/atom



# KSrTl2Pt

A geometry-optimized KSrTl2Pt structure (GGA-PBE, the Alexandria database).

Unit cell a=5.501 b=5.501 c=5.738 alpha=90.00 beta=90.00 gamma=90.00
Fractional coordinates of all 5 atoms:
K 0.000 0.000 0.000
Sr 0.500 0.500 0.000
Tl 0.000 0.500 0.500
Tl 0.500 0.000 0.500
Pt 0.500 0.500 0.500

Values from the calculation:
Raw total energy ... -14.619 eV for the cell shown
Formation enthalpy at 0 K ... -0.213 eV/atom
Total moment ... 0.0000 μB per atom
V ... 34.73 A^3/atom



# KSr2TlPt

A geometry-optimized KSr2TlPt structure (GGA-PBE, the Alexandria database).

Unit cell a=6.023 b=6.023 c=5.418 alpha=90.00 beta=90.00 gamma=90.00
Fractional coordinates of all 5 atoms:
K 0.000 0.000 0.000
Sr 0.000 0.500 0.500
Sr 0.500 0.000 0.500
Tl 0.500 0.500 0.000
Pt 0.500 0.500 0.500

Values from the calculation:
Raw total energy ... -14.505 eV for the cell shown
Formation enthalpy at 0 K ... -0.327 eV/atom
Total moment ... 0.0000 μB per atom
V ... 39.32 A^3/atom



# KSr2ZnPt

A geometry-optimized KSr2ZnPt structure (GGA-PBE, the Alexandria database).

Unit cell a=5.992 b=5.992 c=5.121 alpha=90.00 beta=90.00 gamma=90.00
Fractional coordinates of all 5 atoms:
K 0.000 0.000 0.000
Sr 0.000 0.500 0.500
Sr 0.500 0.000 0.500
Zn 0.500 0.500 0.000
Pt 0.500 0.500 0.500

Values from the calculation:
Raw total energy ... -13.346 eV for the cell shown
Formation enthalpy at 0 K ... -0.314 eV/atom
Total moment ... 0.0000 μB per atom
V ... 36.77 A^3/atom



Question: Which of these has the highest raw total energy?
Answer: number 1



Question: Look up the formation enthalpy at 0 K of the eighth one.
Answer: -0.210 eV/atom



Question: What is the total moment in the second record?
Answer: 0.0000 μB per atom



Copy entry 4 word for word.
# K2SrPt

A geometry-optimized K2SrPt structure (GGA-PBE, the Alexandria database).

Unit cell a=4.434 b=4.113 c=10.128 alpha=90.00 beta=102.58 gamma=90.00
Fractional coordinates of all 4 atoms:
K 0.000 0.000 0.000
K 0.311 0.500 0.630
Sr 0.648 0.500 0.303
Pt 0.171 0.000 0.349

Values from the calculation:
Raw total energy ... -10.887 eV for the cell shown
Formation enthalpy at 0 K ... -0.242 eV/atom
Total moment ... 0.0000 μB per atom
V ... 45.07 A^3/atom